1.
# AlPRu

AlPRu after structural relaxation (PBE, Alexandria).

a b c (Å): 5.351 6.078 6.078
angles (deg): 152.48 151.19 41.61
Fractional coordinates of all 3 atoms:
P 0.441 0.306 0.135
Al 0.865 0.013 0.852
Ru 0.694 0.681 0.013

Output
Space-group type: Cm
Magnetization in μB/cell: 0.00
E_form in eV per atom: -0.44

=====

2.
# AcZn2N2F

AcZn2N2F after structural relaxation (PBE, Alexandria).

a b c (Å): 5.247 9.055 8.142
angles (deg): 144.60 90.00 90.00
Fractional coordinates of all 12 atoms:
N 0.250 0.175 0.463
N 0.750 0.322 0.280
Zn 0.491 0.258 0.373
Zn 0.991 0.742 0.627
N 0.250 0.678 0.720
F 0.250 0.399 0.026
N 0.750 0.825 0.537
Zn 0.509 0.742 0.627
Ac 0.250 0.698 0.035
Zn 0.009 0.258 0.373
F 0.750 0.601 0.974
Ac 0.750 0.302 0.965

Output
Space-group type: P2_1/m
Energy relative to the elements, uncorrected in eV/atom: -1.00
Magnetization in μB/cell: 0.00

=====

3.
# NaCa5In6

NaCa5In6 after structural relaxation (PBE, Alexandria).

a b c (Å): 5.381 7.811 9.352
angles (deg): 65.30 73.62 90.00
Fractional coordinates of all 12 atoms:
In 0.164 0.923 0.672
Ca 0.000 0.500 0.000
Ca 0.670 0.170 0.660
Ca 0.336 0.336 0.327
Na 0.000 0.000 0.000
In 0.500 0.767 0.000
In 0.836 0.077 0.328
In 0.164 0.405 0.672
In 0.836 0.595 0.328
Ca 0.664 0.664 0.673
Ca 0.330 0.830 0.340
In 0.500 0.233 0.000

Output
Space-group type: C2/m
Magnetization in μB/cell: 0.00
E_form in eV per atom: -0.40

=====

4.
# FeNi2Se

FeNi2Se after structural relaxation (PBE, Alexandria).

a b c (Å): 5.796 4.325 2.893
angles (deg): 89.95 60.14 120.24
Fractional coordinates of all 4 atoms:
Ni 0.000 0.000 0.000
Se 0.000 0.500 0.500
Ni 0.500 0.000 0.500
Fe 0.500 0.500 0.000

Output
Space-group type: Cmmm
Energy relative to the elements, uncorrected in eV/atom: 0.18
Magnetization in μB/cell: 3.52

=====

5.
# Mn2Co9N8

Mn2Co9N8 after structural relaxation (PBE, Alexandria).

a b c (Å): 7.699 3.815 6.338
angles (deg): 90.00 71.79 75.66
Fractional coordinates of all 19 atoms:
Co 0.660 0.670 0.422
N 0.271 0.364 0.300
N 0.239 0.880 0.060
N 0.924 0.538 0.228
Co 0.291 0.854 0.337
Co 0.198 0.401 0.020
Co 0.802 0.599 0.980
Mn 0.541 0.229 0.172
Co 0.709 0.146 0.663
Co 0.000 0.500 0.500
Co 0.987 0.007 0.209
Mn 0.459 0.771 0.828
Co 0.340 0.330 0.578
N 0.761 0.120 0.940
N 0.385 0.807 0.586
N 0.615 0.193 0.414
N 0.076 0.462 0.772
N 0.729 0.636 0.700
Co 0.013 0.993 0.791

Output
Space-group type: C2/m
Energy relative to the elements, uncorrected in eV/atom: 0.20
Magnetization in μB/cell: 2.98

=====

6.
# Ti5Bi3C

Ti5Bi3C after structural relaxation (PBE, Alexandria).

a b c (Å): 5.658 8.281 8.281
angles (deg): 120.00 90.00 90.00
Fractional coordinates of all 18 atoms:
Bi 0.750 0.000 0.401
Ti 0.500 0.333 0.667
Ti 0.250 0.801 0.801
Bi 0.250 0.599 0.000
Bi 0.750 0.401 0.000
Ti 0.250 0.199 0.000
Ti 0.750 0.199 0.199
C 0.000 0.000 0.000
Bi 0.250 0.401 0.401
Ti 0.250 0.000 0.199
Ti 0.500 0.667 0.333
C 0.500 0.000 0.000
Ti 0.000 0.667 0.333
Ti 0.000 0.333 0.667
Ti 0.750 0.801 0.000
Bi 0.250 0.000 0.599
Bi 0.750 0.599 0.599
Ti 0.750 0.000 0.801

Output
Space-group type: P6_3/mcm
Magnetization in μB/cell: 0.00
E_form in eV per atom: -0.27

=====

7.
# Na2MgCoI

Na2MgCoI after structural relaxation (PBE, Alexandria).

a b c (Å): 5.732 4.653 5.732
angles (deg): 90.00 90.00 90.00
Fractional coordinates of all 5 atoms:
I 0.000 0.500 0.000
Na 0.500 0.000 0.000
Na 0.000 0.000 0.500
Co 0.000 0.000 0.000
Mg 0.500 0.500 0.500

Output
Space-group type: P4/mmm
Energy relative to the elements, uncorrected in eV/atom: 0.36
Magnetization in μB/cell: 0.00

=====

8.
# AlGa3C

AlGa3C after structural relaxation (PBE, Alexandria).

a b c (Å): 4.926 4.926 4.926
angles (deg): 90.00 90.00 90.00
Fractional coordinates of all 5 atoms:
Al 0.000 0.000 0.000
Ga 0.500 0.000 0.000
Ga 0.000 0.000 0.500
C 0.500 0.500 0.500
Ga 0.000 0.500 0.000

Output
Space-group type: Pm-3m
Magnetization in μB/cell: 1.67
Relative energy among the computed polymorphs in eV per atom: 0.858
E_form in eV per atom: 1.58

=====

9.
# Tc2IrBr

Tc2IrBr after structural relaxation (PBE, Alexandria).

a b c (Å): 4.666 4.666 7.532
angles (deg): 60.60 60.60 35.90
Fractional coordinates of all 4 atoms:
Ir 0.250 0.250 0.250
Tc 0.468 0.468 0.404
Br 0.750 0.750 0.750
Tc 0.032 0.032 0.096

Output
Space-group type: C2/m
Energy relative to the elements, uncorrected in eV/atom: 0.56
Magnetization in μB/cell: 0.00
Relative energy among the computed polymorphs in eV per atom: 0.076

=====

10.
# LiTb2Hg4

LiTb2Hg4 after structural relaxation (PBE, Alexandria).

a b c (Å): 4.762 4.762 8.526
angles (deg): 106.22 106.22 90.00
Fractional coordinates of all 7 atoms:
Hg 0.170 0.170 0.339
Tb 0.638 0.638 0.275
Hg 0.830 0.830 0.661
Tb 0.362 0.362 0.725
Hg 0.000 0.500 0.000
Li 0.000 0.000 0.000
Hg 0.500 0.000 0.000

Output
Space-group type: I4/mmm
Magnetization in μB/cell: 0.00
Relative energy among the computed polymorphs in eV per atom: 0.120
E_form in eV per atom: -0.20

=====

11.
# Y2RePb

Y2RePb after structural relaxation (PBE, Alexandria).

a b c (Å): 8.397 8.397 6.648
angles (deg): 50.84 50.84 90.00
Fractional coordinates of all 8 atoms:
Re 0.250 0.750 0.500
Y 0.189 0.625 0.250
Pb 0.750 0.250 0.500
Y 0.561 0.125 0.250
Pb 0.000 0.000 0.000
Y 0.375 0.439 0.750
Re 0.500 0.500 0.000
Y 0.875 0.811 0.750

Output
Space-group type: I-42d
Magnetization in μB/cell: 0.00
E_form in eV per atom: 0.44

=====

12.
# Hf5ScN5

Hf5ScN5 after structural relaxation (PBE, Alexandria).

a b c (Å): 4.544 5.546 6.399
angles (deg): 106.95 90.00 114.18
Fractional coordinates of all 11 atoms:
N 0.169 0.338 0.835
Hf 0.330 0.660 0.162
N 0.500 0.000 0.000
Hf 0.331 0.662 0.671
N 0.831 0.662 0.165
Hf 0.670 0.340 0.838
Sc 0.000 0.000 0.000
Hf 0.000 0.000 0.500
N 0.167 0.335 0.334
N 0.833 0.665 0.666
Hf 0.669 0.338 0.329

Output
Space-group type: C2/m
Energy relative to the elements, uncorrected in eV/atom: -1.68
Magnetization in μB/cell: 0.00

=====

What is the magnetization in the ninth record?
0.00 μB/cell

=====

What did the tenth record say?
# LiTb2Hg4

LiTb2Hg4 after structural relaxation (PBE, Alexandria).

a b c (Å): 4.762 4.762 8.526
angles (deg): 106.22 106.22 90.00
Fractional coordinates of all 7 atoms:
Hg 0.170 0.170 0.339
Tb 0.638 0.638 0.275
Hg 0.830 0.830 0.661
Tb 0.362 0.362 0.725
Hg 0.000 0.500 0.000
Li 0.000 0.000 0.000
Hg 0.500 0.000 0.000

Output
Space-group type: I4/mmm
Magnetization in μB/cell: 0.00
Relative energy among the computed polymorphs in eV per atom: 0.120
E_form in eV per atom: -0.20